## KLi2OsBr8 (PBE-GGA)

Data for a relaxed structure of KLi2OsBr8.

## Properties
The uncorrected formation energy comes out at -0.826 eV per atom. As for the calculated volume: 420.08 Å³/cell.

Cell: 6.4290 7.6773 9.5455 Å, 111.49 96.55 101.67°
Fractional positions:
K 0.0000 0.0000 0.0000
Li 0.3736 0.3689 0.8352
Li 0.6264 0.6311 0.1648
Os 0.0000 0.0000 0.5000
Br 0.0577 0.7646 0.2521
Br 0.1579 0.8292 0.6408
Br 0.3655 0.2184 0.5405
Br 0.4975 0.2731 0.0454
Br 0.5025 0.7269 0.9546
Br 0.6345 0.7816 0.4595
Br 0.8421 0.1708 0.3592
Br 0.9423 0.2354 0.7479

## Mg2NiHPb (PBE-GGA)

Data for a relaxed structure of Mg2NiHPb.

## Properties
As for the calculated volume: 80.64 Å³/cell. The value obtained for the total energy is -16.13 eV/cell.

Cell: 4.8407 4.8407 3.4414 Å, 90.00 90.00 90.00°
Fractional positions:
Mg 0.0000 0.5000 0.0000
Mg 0.5000 0.0000 0.0000
Ni 0.0000 0.0000 0.5000
H 0.0000 0.0000 0.0000
Pb 0.5000 0.5000 0.5000

## SiAsP (PBE-GGA)

Data for a relaxed structure of SiAsP.

## Properties
The uncorrected formation energy comes out at 0.529 eV per atom. The value obtained for the energy above the most stable polymorph in this dataset is 478 meV/atom. As for the calculated volume: 52.73 Å³/cell.

Cell: 7.1773 6.9871 2.8678 Å, 82.07 74.62 23.31°
Fractional positions:
Si 0.0000 0.0000 0.0000
As 0.3431 0.3431 0.6569
P 0.6214 0.6214 0.3786

## AcPrSm5Dy2 (PBE-GGA)

Data for a relaxed structure of AcPrSm5Dy2.

## Properties
As for the calculated volume: 645.27 Å³/cell. The value obtained for the total energy is -80.73 eV/cell.

Cell: 12.3828 12.3828 9.5146 Å, 90.00 90.00 153.75°
Fractional positions:
Ac 0.1022 0.8978 0.5000
Ac 0.8978 0.1022 0.0000
Pr 0.2633 0.7367 0.1090
Pr 0.7367 0.2633 0.6090
Sm 0.0246 0.9754 0.8239
Sm 0.1027 0.8973 0.1049
Sm 0.1892 0.8108 0.8012
Sm 0.2415 0.7585 0.4336
Sm 0.4931 0.5069 0.6014
Sm 0.5069 0.4931 0.1014
Sm 0.7585 0.2415 0.9336
Sm 0.8108 0.1892 0.3012
Sm 0.8973 0.1027 0.6049
Sm 0.9754 0.0246 0.3239
Dy 0.3299 0.6701 0.7462
Dy 0.3880 0.6120 0.3614
Dy 0.6120 0.3880 0.8614
Dy 0.6701 0.3299 0.2462

Which of these has the lowest calculated volume?
SiAsP

Look up the calculated volume of the third one.
52.73 Å³/cell